Compound: BaCuSn2
Source: Alexandria via LeMat-Bulk
Functional: PBE
Structure: relaxed

a b c (Å): 4.888 19.527 4.705
angles (deg): 90.00 90.00 90.00
Space group Cmcm (No. 63)
Asymmetric unit:
Ba  0.000  0.108  0.250
Cu  0.000  0.320  0.250
Sn  0.000  0.249  0.750
Sn  0.000  0.457  0.250

Values from the calculation:
The theoretical density is 6.48 g/cm³. The total energy comes out at -3.951 eV per atom. The crystal system is orthorhombic.

***

Compound: LiTaRh2
Source: Alexandria via LeMat-Bulk
Functional: PBE
Structure: relaxed

a b c (Å): 9.380 3.424 3.977
angles (deg): 90.00 114.98 90.00
Space group Cm (No. 8)
Asymmetric unit:
Li  0.000  0.000  0.000
Ta  0.257  0.500  0.257
Rh  0.255  0.000  0.756
Rh  0.495  0.000  0.495

Values from the calculation:
The theoretical density is 11.29 g/cm³. The crystal system is monoclinic. As for the energy above the most stable polymorph in this dataset: 0.2131 eV/atom.

***

Compound: Rb3NaS2
Source: Alexandria via LeMat-Bulk
Functional: PBE
Structure: relaxed

a b c (Å): 7.821 15.285 6.891
angles (deg): 90.00 90.00 90.00
Space group Ibam (No. 72)
Asymmetric unit:
Rb  0.000  0.000  0.250
Rb  0.185  0.316  0.000
Na  0.000  0.500  0.250
S  0.210  0.392  0.500

Values from the calculation:
The theoretical density is 2.77 g/cm³. The total energy comes out at -3.069 eV per atom. The crystal system is orthorhombic.

***

Compound: CaNdSnPb
Source: Alexandria via LeMat-Bulk
Functional: PBE
Structure: relaxed

a b c (Å): 7.830 7.830 7.830
angles (deg): 90.00 90.00 90.00
Space group F-43m (No. 216)
Asymmetric unit:
Ca  0.000  0.000  0.000
Nd  0.000  0.000  0.500
Sn  0.250  0.250  0.750
Pb  0.250  0.250  0.250

Values from the calculation:
The theoretical density is 7.06 g/cm³. The total energy comes out at -4.134 eV per atom. The crystal system is cubic.

***

Compound: OsSCl
Source: Alexandria via LeMat-Bulk
Functional: PBE
Structure: relaxed

a b c (Å): 3.125 3.125 7.456
angles (deg): 78.36 78.68 60.00
Space group P1 (No. 1)
Asymmetric unit:
Os  0.000  0.000  0.000
S  0.607  0.601  0.198
Cl  0.094  0.102  0.689

Values from the calculation:
The theoretical density is 6.97 g/cm³. The total energy comes out at -5.788 eV per atom. The crystal system is triclinic.

***

Compound: Sr3CaIrO6
Source: Alexandria via LeMat-Bulk
Functional: PBE
Structure: relaxed

a b c (Å): 9.8294 9.8294 11.5722
angles (deg): 90.00 90.00 120.00
Space group R-3c (No. 167, hexagonal axes)
Asymmetric unit:
Sr  0.0000  0.3635  0.2500
Ca  0.0000  0.0000  0.2500
Ir  0.0000  0.0000  0.0000
O  0.0241  0.1801  0.3943

Values from the calculation:
The theoretical density is 6.08 g/cm³. The total energy comes out at -6.480 eV per atom. The crystal system is trigonal.

***

Compound: Ta3Au5
Source: Alexandria via LeMat-Bulk
Functional: PBE
Structure: relaxed

a b c (Å): 6.425 5.235 9.386
angles (deg): 90.00 107.50 90.00
Space group P2_1/m (No. 11)
Asymmetric unit:
Ta  0.030  0.250  0.466
Ta  0.383  0.250  0.002
Ta  0.436  0.750  0.462
Au  0.035  0.750  0.248
Au  0.154  0.750  0.978
Au  0.249  0.250  0.261
Au  0.350  0.000  0.727

Values from the calculation:
The theoretical density is 16.85 g/cm³. The crystal system is monoclinic. As for the energy above the most stable polymorph in this dataset: 0.1829 eV/atom.

***

Compound: Cu2PbSe
Source: Alexandria via LeMat-Bulk
Functional: PBE
Structure: relaxed

a b c (Å): 6.138 6.276 5.278
angles (deg): 90.00 124.38 90.00
Space group C2/m (No. 12)
Asymmetric unit:
Cu  0.250  0.250  0.000
Pb  0.000  0.000  0.500
Se  0.000  0.500  0.500

Values from the calculation:
The theoretical density is 8.18 g/cm³. The total energy comes out at -3.633 eV per atom. The crystal system is monoclinic.

***

Q: Which formula does entry 1 have?
A: BaCuSn2